Record 1
Computed, not measured: a relaxed SrCaOs2O8 crystal at the PBE level of DFT.

Summary:
**Raw total energy**: -171.28 eV/cell
**Spin magnetization**: 7.75 Bohr magnetons per cell
**ΔE_f (raw)**: -1.65 eV/atom
**Theoretical density**: 6.1 Mg/m³

The structure in CIF format:
```
data_SrCaOs2O8
_chemical_formula_sum 'Sr2 Ca2 Os4 O16'
_cell_length_a 5.398
_cell_length_b 5.398
_cell_length_c 11.876
_cell_angle_alpha 90.00
_cell_angle_beta 90.00
_cell_angle_gamma 90.00
_space_group_name_H-M_alt 'I -4'
_space_group_IT_number 82
loop_
_space_group_symop_operation_xyz
'x,y,z'
'y,-x,-z'
'-x,-y,z'
'-y,x,-z'
'x+1/2,y+1/2,z+1/2'
'y+1/2,-x+1/2,-z+1/2'
'-x+1/2,-y+1/2,z+1/2'
'-y+1/2,x+1/2,-z+1/2'
loop_
_atom_site_label
_atom_site_fract_x
_atom_site_fract_y
_atom_site_fract_z
_atom_site_occupancy
Sr1 0.000 0.000 0.000 1
Ca1 0.000 0.500 0.750 1
Os1 0.000 0.000 0.500 1
Os2 0.000 0.500 0.250 1
O1 0.142 0.245 0.583 1
O2 0.156 0.742 0.171 1
```

Record 2
Computed, not measured: a relaxed Nd2TlGaO5 crystal at the PBE level of DFT.

Summary:
**Raw total energy**: -121.13 eV/cell
**Spin magnetization**: 0.00 Bohr magnetons per cell
**ΔE_f (raw)**: -2.32 eV/atom
**Theoretical density**: 7.8 Mg/m³

The structure in CIF format:
```
data_Nd2TlGaO5
_chemical_formula_sum 'Nd4 Tl2 Ga2 O10'
_cell_length_a 6.846
_cell_length_b 6.846
_cell_length_c 5.849
_cell_angle_alpha 90.00
_cell_angle_beta 90.00
_cell_angle_gamma 90.00
_space_group_name_H-M_alt 'P 4/m b m'
_space_group_IT_number 127
_space_group_name_Hall '-P 4 2ab'
loop_
_atom_site_label
_atom_site_fract_x
_atom_site_fract_y
_atom_site_fract_z
_atom_site_occupancy
Nd1 0.179 0.321 0.000 1
Tl1 0.000 0.000 0.500 1
Ga1 0.000 0.500 0.500 1
O1 0.000 0.000 0.000 1
O2 0.131 0.631 0.256 1
```

Record 3
Computed, not measured: a relaxed Tb12Nd5Pu crystal at the PBE level of DFT.

Summary:
**Raw total energy**: -183.13 eV/cell
**Calculated formation energy**: 0.12 eV per atom
**Spin magnetization**: 13.06 Bohr magnetons per cell
**Theoretical density**: 8.1 Mg/m³

The structure in CIF format:
```
data_Tb12Nd5Pu
_chemical_formula_sum 'Tb24 Nd10 Pu2'
_cell_length_a 11.371
_cell_length_b 17.406
_cell_length_c 5.984
_cell_angle_alpha 90.00
_cell_angle_beta 90.47
_cell_angle_gamma 90.00
_space_group_name_H-M_alt 'C 1 2/m 1'
_space_group_IT_number 12
loop_
_space_group_symop_operation_xyz
'x,y,z'
'-x,-y,-z'
'-x,y,-z'
'x,-y,z'
'x+1/2,y+1/2,z'
'-x+1/2,-y+1/2,-z'
'-x+1/2,y+1/2,-z'
'x+1/2,-y+1/2,z'
loop_
_atom_site_label
_atom_site_fract_x
_atom_site_fract_y
_atom_site_fract_z
_atom_site_occupancy
Tb1 0.166 0.000 0.440 1
Tb2 0.171 0.166 0.044 1
Tb3 0.179 0.335 0.454 1
Tb4 0.188 0.500 0.060 1
Nd1 0.000 0.171 0.500 1
Nd2 0.000 0.340 0.000 1
Nd3 0.000 0.500 0.500 1
Pu1 0.000 0.000 0.000 1
```

Record 4
Computed, not measured: a relaxed Te2AsPb crystal at the PBE level of DFT.

Summary:
**Raw total energy**: -28.93 eV/cell
**Offset from the most stable computed form**: 117.8 meV/atom
**Spin magnetization**: 0.00 Bohr magnetons per cell
**ΔE_f (raw)**: 0.04 eV/atom
**Theoretical density**: 7.7 Mg/m³

The structure in CIF format:
```
data_Te2AsPb
_chemical_formula_sum 'Te4 As2 Pb2'
_cell_length_a 4.050
_cell_length_b 5.483
_cell_length_c 10.405
_cell_angle_alpha 90.00
_cell_angle_beta 90.00
_cell_angle_gamma 90.00
_space_group_name_H-M_alt 'I m m m'
_space_group_IT_number 71
_space_group_name_Hall '-I 2 2'
loop_
_atom_site_label
_atom_site_fract_x
_atom_site_fract_y
_atom_site_fract_z
_atom_site_occupancy
Te1 0.000 0.000 0.197 1
As1 0.000 0.500 0.500 1
Pb1 0.000 0.500 0.000 1
```